Entry 1:
A plane-wave DFT calculation with meta-GGA SCAN was carried out for a PBEsol-optimized structure of La3CoSe.

a = 5.171 Å, b = 5.171 Å, c = 5.171 Å
α = 90.00°, β = 90.00°, γ = 90.00°
Space group Pm-3m (No. 221)
Unique sites:
1 La 0.000 0.000 0.500 (multiplicity 3)
2 Co 0.000 0.000 0.000 (multiplicity 1)
3 Se 0.500 0.500 0.500 (multiplicity 1)

Calculated values
- Energy relative to the elements, uncorrected: -50.7 kJ/mol of atoms
- Electronic total energy: -33.865 eV/atom



Entry 2:
A plane-wave DFT calculation with meta-GGA SCAN was carried out for a PBEsol-optimized structure of Cs2YTa.

a = 8.051 Å, b = 8.051 Å, c = 8.051 Å
α = 90.00°, β = 90.00°, γ = 90.00°
Space group Fm-3m (No. 225)
Unique sites:
1 Cs 0.250 0.250 0.250 (multiplicity 8)
2 Y 0.000 0.000 0.000 (multiplicity 4)
3 Ta 0.000 0.000 0.500 (multiplicity 4)

Calculated values
- Electronic total energy: -40.535 eV/atom
- Calculated formation energy: 1.98 eV per atom



Entry 3:
A plane-wave DFT calculation with meta-GGA SCAN was carried out for a PBEsol-optimized structure of Mg2GeRu2.

a = 6.219 Å, b = 6.219 Å, c = 4.258 Å
α = 90.00°, β = 90.00°, γ = 90.00°
Space group P4/mbm (No. 127)
Unique sites:
1 Mg 0.165 0.335 0.000 (multiplicity 4)
2 Ge 0.000 0.000 0.500 (multiplicity 2)
3 Ru 0.141 0.641 0.500 (multiplicity 4)

Calculated values
- Electronic total energy: -20.070 eV/atom
- Calculated formation energy: -0.33 eV per atom



Entry 4:
A plane-wave DFT calculation with meta-GGA SCAN was carried out for a PBEsol-optimized structure of Sc2AlCl.

a = 3.1433 Å, b = 3.1433 Å, c = 29.0164 Å
α = 90.00°, β = 90.00°, γ = 120.00°
Space group R-3m (No. 166, hexagonal axes)
Unique sites:
1 Sc 0.0000 0.0000 0.0976 (multiplicity 6)
2 Al 0.0000 0.0000 0.0000 (multiplicity 3)
3 Cl 0.0000 0.0000 0.5000 (multiplicity 3)

Calculated values
- Energy relative to the elements, uncorrected: -33.7 kJ/mol of atoms
- Electronic total energy: -11.401 eV/atom



Entry 5:
A plane-wave DFT calculation with meta-GGA SCAN was carried out for a PBEsol-optimized structure of Ti2MnBeIr.

a = 4.271 Å, b = 4.271 Å, c = 4.487 Å
α = 90.00°, β = 90.00°, γ = 90.00°
Space group P4/mmm (No. 123)
Unique sites:
1 Ti 0.000 0.500 0.000 (multiplicity 2)
2 Mn 0.000 0.000 0.000 (multiplicity 1)
3 Be 0.500 0.500 0.500 (multiplicity 1)
4 Ir 0.000 0.000 0.500 (multiplicity 1)

Calculated values
- Electronic total energy: -24.565 eV/atom
- Calculated formation energy: 0.59 eV per atom



Entry 6:
A plane-wave DFT calculation with meta-GGA SCAN was carried out for a PBEsol-optimized structure of ScMnH2Pt.

a = 3.582 Å, b = 3.582 Å, c = 5.430 Å
α = 90.00°, β = 90.00°, γ = 90.00°
Space group P4/mmm (No. 123)
Unique sites:
1 Sc 0.000 0.000 0.000 (multiplicity 1)
2 Mn 0.000 0.000 0.500 (multiplicity 1)
3 H 0.000 0.500 0.000 (multiplicity 2)
4 Pt 0.500 0.500 0.500 (multiplicity 1)

Calculated values
- Electronic total energy: -21.856 eV/atom



Entry 7:
A plane-wave DFT calculation with meta-GGA SCAN was carried out for a PBEsol-optimized structure of SnPdPt3.

a = 4.819 Å, b = 4.819 Å, c = 4.819 Å
α = 90.00°, β = 90.00°, γ = 90.00°
Space group Pm-3m (No. 221)
Unique sites:
1 Sn 0.000 0.000 0.000 (multiplicity 1)
2 Pd 0.500 0.500 0.500 (multiplicity 1)
3 Pt 0.000 0.000 0.500 (multiplicity 3)

Calculated values
- Electronic total energy: -54.580 eV/atom
- Calculated formation energy: 1.27 eV per atom



Entry 8:
A plane-wave DFT calculation with meta-GGA SCAN was carried out for a PBEsol-optimized structure of NdTmMg2.

a = 7.532 Å, b = 7.532 Å, c = 7.532 Å
α = 90.00°, β = 90.00°, γ = 90.00°
Space group Fm-3m (No. 225)
Unique sites:
1 Nd 0.000 0.000 0.000 (multiplicity 4)
2 Tm 0.000 0.000 0.500 (multiplicity 4)
3 Mg 0.250 0.250 0.250 (multiplicity 8)

Calculated values
- Electronic total energy: -26.427 eV/atom
- Calculated formation energy: -0.09 eV per atom



Entry 9:
A plane-wave DFT calculation with meta-GGA SCAN was carried out for a PBEsol-optimized structure of YPt2Rh.

a = 4.069 Å, b = 4.069 Å, c = 8.039 Å
α = 90.00°, β = 90.00°, γ = 90.00°
Space group I-4m2 (No. 119)
Unique sites:
1 Y 0.000 0.000 0.000 (multiplicity 2)
2 Pt 0.000 0.000 0.500 (multiplicity 2)
3 Pt 0.000 0.500 0.250 (multiplicity 2)
4 Rh 0.000 0.500 0.750 (multiplicity 2)

Calculated values
- Electronic total energy: -51.242 eV/atom
- Calculated formation energy: -0.74 eV per atom



Entry 10:
A plane-wave DFT calculation with meta-GGA SCAN was carried out for a PBEsol-optimized structure of MnCuP2.

a = 3.211 Å, b = 3.211 Å, c = 4.670 Å
α = 90.00°, β = 90.00°, γ = 90.00°
Space group P4mm (No. 99)
Unique sites:
1 Mn 0.000 0.000 0.000 (multiplicity 1)
2 Cu 0.500 0.500 0.666 (multiplicity 1)
3 P 0.000 0.000 0.503 (multiplicity 1)
4 P 0.500 0.500 0.159 (multiplicity 1)

Calculated values
- Electronic total energy: -13.623 eV/atom
- Calculated formation energy: -0.06 eV per atom



Entry 11:
A plane-wave DFT calculation with meta-GGA SCAN was carried out for a PBEsol-optimized structure of SrIn2Rh.

a = 4.6103 Å, b = 4.6103 Å, c = 16.5349 Å
α = 90.00°, β = 90.00°, γ = 120.00°
Space group R3m (No. 160, hexagonal axes)
Unique sites:
1 Sr 0.0000 0.0000 0.0000 (multiplicity 3)
2 In 0.0000 0.0000 0.2057 (multiplicity 3)
3 In 0.0000 0.0000 0.4571 (multiplicity 3)
4 Rh 0.0000 0.0000 0.8162 (multiplicity 3)

Calculated values
- Electronic total energy: -31.216 eV/atom
- Calculated formation energy: -0.51 eV per atom



Entry 12:
A plane-wave DFT calculation with meta-GGA SCAN was carried out for a PBEsol-optimized structure of TiIr2N.

a = 5.135 Å, b = 5.135 Å, c = 9.621 Å
α = 90.00°, β = 90.00°, γ = 90.00°
Space group I-42d (No. 122)
Unique sites:
1 Ti 0.000 0.000 0.000 (multiplicity 4)
2 Ir 0.161 0.250 0.625 (multiplicity 8)
3 N 0.000 0.000 0.500 (multiplicity 4)

Calculated values
- Energy relative to the elements, uncorrected: 12.6 kJ/mol of atoms
- Electronic total energy: -41.749 eV/atom



Q: electronic total energy of number 2 (Cs2YTa)?
A: -40.535 eV/atom



Q: The lowest electronic total energy belongs to which entry?
A: SnPdPt3